Entry from Alexandria via LeMat-Bulk: an optimized crystal structure of NaSn2Pd3 (GGA-PBEsol).

Calculated values
The energy of formation comes out at -0.474 eV per atom. As for the electronic total energy: -30.64 eV/f.u. As for the space-group type: No. 183. The density is 8.1 g/cm³.

Cell lengths 5.703, 5.703, 4.245 Å; angles 90.00, 90.00, 120.00 degrees
Fractional coordinates of all 6 atoms:
Na (0.000, 0.000, 0.000)
Sn (0.333, 0.667, 0.267)
Sn (0.667, 0.333, 0.267)
Pd (0.000, 0.500, 0.765)
Pd (0.500, 0.000, 0.765)
Pd (0.500, 0.500, 0.765)